(1)
## RbNaSiS3 (GGA-PBE)

Data for a relaxed RbNaSiS3 crystal.

```
RbNaSiS3
1.0
4.308 -4.649 0.000
4.308 4.649 0.000
-0.988 0.000 9.370
Rb Na Si S
2 2 2 6
direct
0.209 0.209 0.121
0.791 0.791 0.879
0.276 0.724 0.500
0.724 0.276 0.500
0.162 0.162 0.697
0.838 0.838 0.303
0.082 0.706 0.209
0.256 0.256 0.505
0.294 0.918 0.791
0.706 0.082 0.209
0.744 0.744 0.495
0.918 0.294 0.791
```

Output
The value obtained for the total energy is -51.896 eV/cell. The formation energy from raw total energies is -5.856 eV/f.u.



(2)
## BaFe2Si (GGA-PBE)

Data for a relaxed BaFe2Si crystal.

```
BaFe2Si
1.0
4.529 0.000 0.000
0.000 3.302 0.000
-2.138 0.000 4.950
Ba Fe Si
1 2 1
direct
0.000 0.000 0.000
0.500 0.000 0.500
0.500 0.500 0.000
0.000 0.500 0.500
```

Output
The value obtained for the total energy is -20.522 eV/cell. The formation energy from raw total energies is 3.749 eV/f.u.



(3)
## Tl4CrFe (GGA-PBE)

Data for a relaxed Tl4CrFe crystal.

```
Tl4CrFe
1.0
0.000 4.359 4.359
4.359 0.000 4.359
4.359 4.359 0.000
Tl Cr Fe
4 1 1
direct
0.125 0.125 0.125
0.125 0.125 0.625
0.125 0.625 0.125
0.625 0.125 0.125
0.750 0.750 0.750
0.500 0.500 0.500
```

Output
The value obtained for the total energy is -21.654 eV/cell. The calculation puts the formation energy from the elements at 0.98 eV per atom.